[1]
# Cr2FeHIr, relaxed, DFT PBE-GGA
# DFT total energy = -7.97 eV/atom
data_Cr2FeHIr
_symmetry_space_group_name_H-M 'P 1'
_symmetry_Int_Tables_number 1
_symmetry_space_group_name_Hall 'P 1'
_cell_length_a 3.7069
_cell_length_b 3.7069
_cell_length_c 3.7864
_cell_angle_alpha 90.00
_cell_angle_beta 90.00
_cell_angle_gamma 90.00
loop_
_atom_site_label
_atom_site_type_symbol
_atom_site_fract_x
_atom_site_fract_y
_atom_site_fract_z
Cr1 Cr 0.0000 0.5000 0.0000
Cr2 Cr 0.5000 0.0000 0.0000
Fe1 Fe 0.5000 0.5000 0.5000
Ir1 Ir 0.0000 0.0000 0.5000
H1 H 0.0000 0.0000 0.0000



[2]
# Li2CrFeH6, relaxed, DFT PBE-GGA
# DFT total energy = -4.32 eV/atom
data_Li2CrFeH6
_symmetry_space_group_name_H-M 'P 1'
_symmetry_Int_Tables_number 1
_symmetry_space_group_name_Hall 'P 1'
_cell_length_a 4.6433
_cell_length_b 4.6621
_cell_length_c 6.5176
_cell_angle_alpha 90.00
_cell_angle_beta 89.83
_cell_angle_gamma 90.00
loop_
_atom_site_label
_atom_site_type_symbol
_atom_site_fract_x
_atom_site_fract_y
_atom_site_fract_z
Fe1 Fe 0.0000 0.5000 0.5000
Fe2 Fe 0.5000 0.0000 0.0000
H1 H 0.6995 0.2755 0.9504
H2 H 0.1995 0.2245 0.4504
H3 H 0.9100 0.5306 0.2623
H4 H 0.3005 0.7245 0.0496
H5 H 0.2228 0.1997 0.0440
H6 H 0.7228 0.3003 0.5440
H7 H 0.5900 0.0306 0.2377
H8 H 0.7772 0.8003 0.9560
H9 H 0.4100 0.9694 0.7623
H10 H 0.2772 0.6997 0.4560
H11 H 0.0900 0.4694 0.7377
H12 H 0.8005 0.7755 0.5496
Li1 Li 0.9955 0.0214 0.7497
Li2 Li 0.5045 0.5214 0.7503
Li3 Li 0.4955 0.4786 0.2497
Li4 Li 0.0045 0.9786 0.2503
Cr1 Cr 0.5000 0.0000 0.5000
Cr2 Cr 0.0000 0.5000 0.0000